Entry 1:
# PmTm2Sc7, relaxed, DFT PBE
# Spin magnetization, μB/f.u.: 0.00
# DFT formation energy, meV/atom: 95
# DFT total energy, eV per formula unit: -57.07
data_PmTm2Sc7
_symmetry_space_group_name_H-M 'P -1'
_symmetry_Int_Tables_number 2
_cell_length_a 6.048
_cell_length_b 6.315
_cell_length_c 7.845
_cell_angle_alpha 70.66
_cell_angle_beta 70.92
_cell_angle_gamma 82.95
loop_
_symmetry_equiv_pos_as_xyz
'x,y,z'
'-x,-y,-z'
loop_
_atom_site_label
_atom_site_type_symbol
_atom_site_fract_x
_atom_site_fract_y
_atom_site_fract_z
Pm1 Pm 0.000 0.000 0.000
Tm1 Tm 0.187 0.569 0.781
Sc1 Sc 0.000 0.000 0.500
Sc2 Sc 0.227 0.617 0.321
Sc3 Sc 0.394 0.185 0.577
Sc4 Sc 0.416 0.211 0.114

***

Entry 2:
# PmTm2Sc2, relaxed, DFT PBE
# Spin magnetization, μB/f.u.: 0.00
# DFT formation energy, meV/atom: 54
# DFT total energy, eV per formula unit: -26.09
# Energy above the most stable polymorph in this dataset, eV/atom: 0.000
data_PmTm2Sc2
_symmetry_space_group_name_H-M 'C 1 2/m 1'
_symmetry_Int_Tables_number 12
_cell_length_a 10.843
_cell_length_b 4.845
_cell_length_c 10.846
_cell_angle_alpha 90.00
_cell_angle_beta 90.09
_cell_angle_gamma 90.00
loop_
_symmetry_equiv_pos_as_xyz
'x,y,z'
'-x,-y,-z'
'-x,y,-z'
'x,-y,z'
'x+1/2,y+1/2,z'
'-x+1/2,-y+1/2,-z'
'-x+1/2,y+1/2,-z'
'x+1/2,-y+1/2,z'
loop_
_atom_site_label
_atom_site_type_symbol
_atom_site_fract_x
_atom_site_fract_y
_atom_site_fract_z
Pm1 Pm 0.248 0.000 0.247
Tm1 Tm 0.050 0.000 0.853
Tm2 Tm 0.148 0.000 0.550
Sc1 Sc 0.050 0.500 0.350
Sc2 Sc 0.149 0.500 0.050

***

Entry 3:
# PmTm6Sc2, relaxed, DFT PBE
# Spin magnetization, μB/f.u.: 0.00
# DFT formation energy, meV/atom: 129
# DFT total energy, eV per formula unit: -43.08
# Energy above the most stable polymorph in this dataset, eV/atom: 0.069
data_PmTm6Sc2
_symmetry_space_group_name_H-M 'C 1 2/c 1'
_symmetry_Int_Tables_number 15
_cell_length_a 13.227
_cell_length_b 12.787
_cell_length_c 6.459
_cell_angle_alpha 90.00
_cell_angle_beta 103.13
_cell_angle_gamma 90.00
loop_
_symmetry_equiv_pos_as_xyz
'x,y,z'
'-x,-y,-z'
'-x,y,-z+1/2'
'x,-y,z+1/2'
'x+1/2,y+1/2,z'
'-x+1/2,-y+1/2,-z'
'-x+1/2,y+1/2,-z+1/2'
'x+1/2,-y+1/2,z+1/2'
loop_
_atom_site_label
_atom_site_type_symbol
_atom_site_fract_x
_atom_site_fract_y
_atom_site_fract_z
Pm1 Pm 0.000 0.142 0.250
Tm1 Tm 0.025 0.355 0.997
Tm2 Tm 0.123 0.082 0.823
Tm3 Tm 0.244 0.294 0.740
Sc1 Sc 0.178 0.470 0.372

***

Entry 4:
# Pm4Tm2Sc, relaxed, DFT PBE
# Spin magnetization, μB/f.u.: 0.00
# DFT formation energy, meV/atom: 537
# DFT total energy, eV per formula unit: -30.52
# Energy above the most stable polymorph in this dataset, eV/atom: 0.356
data_Pm4Tm2Sc
_symmetry_space_group_name_H-M 'C m m m'
_symmetry_Int_Tables_number 65
_symmetry_space_group_name_Hall '-C 2 2'
_cell_length_a 6.104
_cell_length_b 12.837
_cell_length_c 5.935
_cell_angle_alpha 90.00
_cell_angle_beta 90.00
_cell_angle_gamma 90.00
loop_
_atom_site_label
_atom_site_type_symbol
_atom_site_fract_x
_atom_site_fract_y
_atom_site_fract_z
Pm1 Pm 0.000 0.137 0.000
Pm2 Pm 0.000 0.313 0.500
Tm1 Tm 0.000 0.388 0.000
Sc1 Sc 0.000 0.000 0.500

***

Entry 5:
# PmTm4Sc2, relaxed, DFT PBE
# Spin magnetization, μB/f.u.: 0.00
# DFT formation energy, meV/atom: 773
# DFT total energy, eV per formula unit: -29.89
# Energy above the most stable polymorph in this dataset, eV/atom: 0.730
data_PmTm4Sc2
_symmetry_space_group_name_H-M 'I 4/m m m'
_symmetry_Int_Tables_number 139
_symmetry_space_group_name_Hall '-I 4 2'
_cell_length_a 5.488
_cell_length_b 5.488
_cell_length_c 15.731
_cell_angle_alpha 90.00
_cell_angle_beta 90.00
_cell_angle_gamma 90.00
loop_
_atom_site_label
_atom_site_type_symbol
_atom_site_fract_x
_atom_site_fract_y
_atom_site_fract_z
Pm1 Pm 0.000 0.000 0.000
Tm1 Tm 0.000 0.000 0.186
Tm2 Tm 0.000 0.500 0.000
Sc1 Sc 0.000 0.000 0.394

***

Entry 6:
# Pm6Tm3Sc2, relaxed, DFT PBE
# Spin magnetization, μB/f.u.: 0.00
# DFT formation energy, meV/atom: 94
# DFT total energy, eV per formula unit: -53.55
# Energy above the most stable polymorph in this dataset, eV/atom: 0.000
data_Pm6Tm3Sc2
_symmetry_space_group_name_H-M 'P -1'
_symmetry_Int_Tables_number 2
_cell_length_a 6.081
_cell_length_b 6.662
_cell_length_c 9.647
_cell_angle_alpha 88.53
_cell_angle_beta 87.68
_cell_angle_gamma 63.52
loop_
_symmetry_equiv_pos_as_xyz
'x,y,z'
'-x,-y,-z'
loop_
_atom_site_label
_atom_site_type_symbol
_atom_site_fract_x
_atom_site_fract_y
_atom_site_fract_z
Pm1 Pm 0.092 0.391 0.325
Pm2 Pm 0.215 0.226 0.951
Pm3 Pm 0.234 0.857 0.232
Tm1 Tm 0.346 0.682 0.865
Tm2 Tm 0.500 0.500 0.500
Sc1 Sc 0.294 0.046 0.606

***

> Which value of spin magnetization does entry 1 give?

0.00 μB/f.u.

***

> The lowest DFT total energy belongs to which entry?

PmTm2Sc7

***

> What is the DFT total energy in the fifth record?

-29.89 eV per formula unit

***

What did the first record say?
# PmTm2Sc7, relaxed, DFT PBE
# Spin magnetization, μB/f.u.: 0.00
# DFT formation energy, meV/atom: 95
# DFT total energy, eV per formula unit: -57.07
data_PmTm2Sc7
_symmetry_space_group_name_H-M 'P -1'
_symmetry_Int_Tables_number 2
_cell_length_a 6.048
_cell_length_b 6.315
_cell_length_c 7.845
_cell_angle_alpha 70.66
_cell_angle_beta 70.92
_cell_angle_gamma 82.95
loop_
_symmetry_equiv_pos_as_xyz
'x,y,z'
'-x,-y,-z'
loop_
_atom_site_label
_atom_site_type_symbol
_atom_site_fract_x
_atom_site_fract_y
_atom_site_fract_z
Pm1 Pm 0.000 0.000 0.000
Tm1 Tm 0.187 0.569 0.781
Sc1 Sc 0.000 0.000 0.500
Sc2 Sc 0.227 0.617 0.321
Sc3 Sc 0.394 0.185 0.577
Sc4 Sc 0.416 0.211 0.114